(1)
# V8Fe2S

A relaxed structure of V8Fe2S (PBE-GGA, Alexandria).

The space group is C2/m (No. 12) and the conventional cell measures 14.0434, 4.1596 and 4.7371 Å, with angles of 90.00, 94.61 and 90.00 degrees. Symmetry generates all atoms from V at (0.0404, 0.0000, 0.2462), V at (0.0893, 0.5000, 0.5306), V at (0.1777, 0.5000, 0.0712), V at (0.2260, 0.0000, 0.3621), Fe at (0.1499, 0.0000, 0.7879) and S at (0.0000, 0.5000, 0.0000).

The value obtained for the uncorrected formation energy is -0.16 eV per atom. The total energy is -8.71 eV per atom.

(2)
# FeWS2

A relaxed structure of FeWS2 (PBE-GGA, Alexandria).

The space group is I-42d (No. 122) and the conventional cell measures 5.2421, 5.2421 and 9.8134 Å, with angles of 90.00, 90.00 and 90.00 degrees. Symmetry generates all atoms from Fe at (0.0000, 0.0000, 0.0000), W at (0.0000, 0.0000, 0.5000) and S at (0.2216, 0.2500, 0.1250).

The value obtained for the uncorrected formation energy is 0.02 eV per atom. The total energy is -7.40 eV per atom.